[1]
Here is AlReAu2 after structural relaxation from Alexandria via LeMat-Bulk. Energies are from PBEsol.

Electronic total energy   -6.08 eV/atom
DOS at the Fermi energy   3.18 states/eV/cell
Energy of formation   0.237 eV/atom

Cell and atoms, written as CIF:
```
data_AlReAu2
_cell_length_a 2.752
_cell_length_b 3.976
_cell_length_c 5.695
_cell_angle_alpha 90.00
_cell_angle_beta 90.00
_cell_angle_gamma 90.00
_space_group_name_H-M_alt 'P m m m'
_space_group_IT_number 47
loop_
_space_group_symop_operation_xyz
'x,y,z'
'-x,-y,-z'
'-x,-y,z'
'x,y,-z'
'x,-y,-z'
'-x,y,z'
'-x,y,-z'
'x,-y,z'
loop_
_atom_site_label
_atom_site_type_symbol
_atom_site_fract_x
_atom_site_fract_y
_atom_site_fract_z
Al1 Al 0.000 0.000 0.000
Re1 Re 0.000 0.000 0.500
Au1 Au 0.500 0.500 0.247
```

***

[2]
Here is Al2ReAu after structural relaxation from Alexandria via LeMat-Bulk. Energies are from PBEsol.

Electronic total energy   -6.63 eV/atom
DOS at the Fermi energy   2.00 states/eV/cell
Distance to the lowest polymorph of the same formula   0.0 kJ per mole of atoms
Energy of formation   -0.273 eV/atom

Cell and atoms, written as CIF:
```
data_Al2ReAu
_cell_length_a 3.159
_cell_length_b 3.159
_cell_length_c 5.904
_cell_angle_alpha 90.00
_cell_angle_beta 90.00
_cell_angle_gamma 90.00
_space_group_name_H-M_alt 'P 4/m m m'
_space_group_IT_number 123
_space_group_name_Hall '-P 4 2'
loop_
_atom_site_label
_atom_site_type_symbol
_atom_site_fract_x
_atom_site_fract_y
_atom_site_fract_z
Al1 Al 0.000 0.000 0.227
Re1 Re 0.500 0.500 0.000
Au1 Au 0.500 0.500 0.500
```

***

[3]
Here is AlRe2SnAu after structural relaxation from Alexandria via LeMat-Bulk. Energies are from PBEsol.

Electronic total energy   -5.47 eV/atom
DOS at the Fermi energy   4.65 states/eV/cell
Energy of formation   2.318 eV/atom

Cell and atoms, written as CIF:
```
data_AlRe2SnAu
_cell_length_a 4.955
_cell_length_b 4.955
_cell_length_c 4.863
_cell_angle_alpha 90.00
_cell_angle_beta 90.00
_cell_angle_gamma 90.00
_space_group_name_H-M_alt 'P 4/m m m'
_space_group_IT_number 123
_space_group_name_Hall '-P 4 2'
loop_
_atom_site_label
_atom_site_type_symbol
_atom_site_fract_x
_atom_site_fract_y
_atom_site_fract_z
Al1 Al 0.000 0.000 0.000
Re1 Re 0.000 0.500 0.500
Sn1 Sn 0.500 0.500 0.000
Au1 Au 0.500 0.500 0.500
```

***

[4]
Here is SrAlReAu2 after structural relaxation from Alexandria via LeMat-Bulk. Energies are from PBEsol.

Electronic total energy   -3.22 eV/atom
DOS at the Fermi energy   2.94 states/eV/cell
Energy of formation   2.206 eV/atom

Cell and atoms, written as CIF:
```
data_SrAlReAu2
_cell_length_a 5.340
_cell_length_b 5.340
_cell_length_c 5.667
_cell_angle_alpha 90.00
_cell_angle_beta 90.00
_cell_angle_gamma 90.00
_space_group_name_H-M_alt 'P 4/m m m'
_space_group_IT_number 123
_space_group_name_Hall '-P 4 2'
loop_
_atom_site_label
_atom_site_type_symbol
_atom_site_fract_x
_atom_site_fract_y
_atom_site_fract_z
Sr1 Sr 0.000 0.000 0.000
Al1 Al 0.000 0.000 0.500
Re1 Re 0.500 0.500 0.500
Au1 Au 0.000 0.500 0.000
```

***

[5]
Here is AlRhAu2 after structural relaxation from Alexandria via LeMat-Bulk. Energies are from PBEsol.

Electronic total energy   -5.20 eV/atom
DOS at the Fermi energy   2.37 states/eV/cell
Energy of formation   -0.184 eV/atom

Cell and atoms, written as CIF:
```
data_AlRhAu2
_cell_length_a 2.913
_cell_length_b 3.761
_cell_length_c 5.595
_cell_angle_alpha 90.00
_cell_angle_beta 90.00
_cell_angle_gamma 90.00
_space_group_name_H-M_alt 'P m m m'
_space_group_IT_number 47
loop_
_space_group_symop_operation_xyz
'x,y,z'
'-x,-y,-z'
'-x,-y,z'
'x,y,-z'
'x,-y,-z'
'-x,y,z'
'-x,y,-z'
'x,-y,z'
loop_
_atom_site_label
_atom_site_type_symbol
_atom_site_fract_x
_atom_site_fract_y
_atom_site_fract_z
Al1 Al 0.000 0.000 0.000
Rh1 Rh 0.000 0.000 0.500
Au1 Au 0.500 0.500 0.246
```

***

[6]
Here is AlRhAu3 after structural relaxation from Alexandria via LeMat-Bulk. Energies are from PBEsol.

Electronic total energy   -3.97 eV/atom
DOS at the Fermi energy   4.66 states/eV/cell
Energy of formation   0.826 eV/atom

Cell and atoms, written as CIF:
```
data_AlRhAu3
_cell_length_a 4.598
_cell_length_b 4.598
_cell_length_c 4.598
_cell_angle_alpha 90.00
_cell_angle_beta 90.00
_cell_angle_gamma 90.00
_space_group_name_H-M_alt 'P m -3 m'
_space_group_IT_number 221
_space_group_name_Hall '-P 4 2 3'
loop_
_atom_site_label
_atom_site_type_symbol
_atom_site_fract_x
_atom_site_fract_y
_atom_site_fract_z
Al1 Al 0.000 0.000 0.000
Rh1 Rh 0.500 0.500 0.500
Au1 Au 0.000 0.000 0.500
```